No. 1
# PmScAl2Pd5

PmScAl2Pd5 after structural relaxation (GGA-PBE, Alexandria via LeMat-Bulk).

Geometry as extended XYZ:
```
9
Lattice="4.178 0.000 0.000 0.000 4.178 0.000 0.000 0.000 9.333" Properties=species:S:1:pos:R:3 pbc="T T T"
Pd 0.000 2.089 2.517
Pd 0.000 2.089 6.816
Al 2.089 2.089 8.080
Al 2.089 2.089 1.253
Pd 2.089 2.089 4.667
Sc 0.000 0.000 0.000
Pd 2.089 0.000 2.517
Pd 2.089 0.000 6.816
Pm 0.000 0.000 4.667
```

Results
The space-group type is No. 123. Its density of states at the Fermi level is 0.651 states/eV per atom. For the magnetic moment, the calculation gives 0.00 μB per atom. The calculation puts the formation enthalpy at 0 K at -0.743 eV/atom.

---

No. 2
# Pm2ScAl3Pd4

Pm2ScAl3Pd4 after structural relaxation (GGA-PBE, Alexandria via LeMat-Bulk).

Geometry as extended XYZ:
```
10
Lattice="-1.240 4.082 0.679 -2.757 -0.287 -3.314 -7.667 -3.440 6.676" Properties=species:S:1:pos:R:3 pbc="T T T"
Pd -4.095 -1.362 0.709
Pd 0.000 0.000 0.000
Pm -7.234 -2.771 3.442
Al -7.359 -0.982 6.207
Pm -2.431 1.229 1.916
Al -2.306 -0.560 -0.849
Sc -5.832 0.178 2.020
Pd -1.999 1.898 -1.318
Al -3.833 -1.720 3.338
Pd -5.570 -0.180 4.649
```

Results
The space-group type is No. 115. Its density of states at the Fermi level is 0.666 states/eV per atom. For the magnetic moment, the calculation gives 0.00 μB per atom. The calculation puts the formation enthalpy at 0 K at -0.834 eV/atom.

---

No. 3
# PmSc2AlPd4

PmSc2AlPd4 after structural relaxation (GGA-PBE, Alexandria via LeMat-Bulk).

Geometry as extended XYZ:
```
8
Lattice="4.599 0.000 0.000 2.300 3.983 0.000 2.300 1.328 8.264" Properties=species:S:1:pos:R:3 pbc="T T T"
Sc 2.300 1.328 2.300
Sc 6.899 3.983 5.964
Al 4.599 2.655 4.132
Pd 4.599 2.655 1.581
Pd 6.899 3.983 3.247
Pd 4.599 2.655 6.684
Pm 0.000 0.000 0.000
Pd 2.300 1.328 5.017
```

Results
The space-group type is No. 166. Its density of states at the Fermi level is 0.783 states/eV per atom. For the magnetic moment, the calculation gives 0.00 μB per atom. The calculation puts the formation enthalpy at 0 K at -0.849 eV/atom.